# 1
DyZrCdTc: relaxed, GGA-PBE.

abc: 6.964 6.964 6.964
angles: 90.00 90.00 90.00
Space group F-43m (No. 216)
Inequivalent atoms, fractional coordinates:
Dy: 0.000 0.000 0.000 (multiplicity 4)
Zr: 0.000 0.000 0.500 (multiplicity 4)
Cd: 0.250 0.250 0.250 (multiplicity 4)
Tc: 0.250 0.250 0.750 (multiplicity 4)

Properties
formation enthalpy at 0 K	-37	kJ/mol of formula units

***

# 2
DyCdTe: relaxed, GGA-PBE.

abc: 4.8221 4.8221 29.3548
angles: 90.00 90.00 120.00
Space group R-3m (No. 166, hexagonal axes)
Inequivalent atoms, fractional coordinates:
Dy: 0.0000 0.0000 0.0642 (multiplicity 6)
Cd: 0.0000 0.0000 0.3297 (multiplicity 6)
Te: 0.0000 0.0000 0.2245 (multiplicity 6)

Properties
E_form (uncorrected)	-0.7748	eV per atom

***

# 3
Dy2CdTe4: relaxed, GGA-PBE.

abc: 16.012 4.382 7.547
angles: 90.00 117.91 90.00
Space group C2/m (No. 12)
Inequivalent atoms, fractional coordinates:
Dy: 0.243 0.000 0.258 (multiplicity 4)
Cd: 0.000 0.500 0.500 (multiplicity 2)
Te: 0.118 0.500 0.289 (multiplicity 4)
Te: 0.130 0.000 0.792 (multiplicity 4)

Properties
E_form (uncorrected)	-1.0774	eV per atom
excess energy over the best structure of this formula in the dataset	38	meV per atom

***

# 4
DyCdTe2: relaxed, GGA-PBE.

abc: 4.4033 4.4033 27.6637
angles: 90.00 90.00 120.00
Space group R-3m (No. 166, hexagonal axes)
Inequivalent atoms, fractional coordinates:
Dy: 0.0000 0.0000 0.0000 (multiplicity 3)
Cd: 0.0000 0.0000 0.5000 (multiplicity 3)
Te: 0.0000 0.0000 0.3957 (multiplicity 6)

Properties
E_form (uncorrected)	-0.7406	eV per atom
excess energy over the best structure of this formula in the dataset	68	meV per atom

***

# 5
DyCdTe3: relaxed, GGA-PBE.

abc: 6.506 4.521 12.695
angles: 90.00 102.04 90.00
Space group P2_1/m (No. 11)
Inequivalent atoms, fractional coordinates:
Dy: 0.007 0.250 0.338 (multiplicity 2)
Cd: 0.485 0.250 0.881 (multiplicity 2)
Te: 0.225 0.750 0.899 (multiplicity 2)
Te: 0.242 0.250 0.577 (multiplicity 2)
Te: 0.286 0.750 0.285 (multiplicity 2)

Properties
E_form (uncorrected)	-0.7334	eV per atom

***

# 6
Dy3CdTe2: relaxed, GGA-PBE.

abc: 8.852 12.308 25.648
angles: 90.00 90.00 90.00
Space group Fddd (No. 70, origin choice 2)
Inequivalent atoms, fractional coordinates:
Dy: 0.122 0.375 0.375 (multiplicity 16)
Dy: 0.123 0.374 0.209 (multiplicity 32)
Cd: 0.125 0.125 0.042 (multiplicity 16)
Te: 0.125 0.125 0.376 (multiplicity 16)
Te: 0.125 0.125 0.543 (multiplicity 16)

Properties
E_form (uncorrected)	-0.9126	eV per atom

***

# 7
Dy2CdTe4: relaxed, GGA-PBE.

abc: 12.645 12.645 12.645
angles: 90.00 90.00 90.00
Space group Fd-3m (No. 227, origin choice 2)
Inequivalent atoms, fractional coordinates:
Dy: 0.000 0.000 0.000 (multiplicity 16)
Cd: 0.125 0.125 0.625 (multiplicity 8)
Te: 0.006 0.006 0.244 (multiplicity 32)

Properties
E_form (uncorrected)	-1.1159	eV per atom
excess energy over the best structure of this formula in the dataset	0	meV per atom

***

# 8
Dy4CdTe2: relaxed, GGA-PBE.

abc: 9.419 13.535 13.583
angles: 90.00 90.00 90.00
Space group Fddd (No. 70, origin choice 2)
Inequivalent atoms, fractional coordinates:
Dy: 0.069 0.279 0.470 (multiplicity 32)
Cd: 0.125 0.125 0.625 (multiplicity 8)
Te: 0.000 0.000 0.000 (multiplicity 16)

Properties
E_form (uncorrected)	-0.6977	eV per atom

***

# 9
Dy7Cd2Te2: relaxed, GGA-PBE.

abc: 8.173 10.885 7.606
angles: 90.00 90.00 90.00
Space group Cmmm (No. 65)
Inequivalent atoms, fractional coordinates:
Dy: 0.000 0.000 0.000 (multiplicity 2)
Dy: 0.000 0.500 0.270 (multiplicity 4)
Dy: 0.250 0.250 0.281 (multiplicity 8)
Cd: 0.173 0.000 0.500 (multiplicity 4)
Te: 0.000 0.282 0.000 (multiplicity 4)

Properties
E_form (uncorrected)	-0.3076	eV per atom

***

# 10
Dy3CdTe6: relaxed, GGA-PBE.

abc: 12.141 14.360 7.528
angles: 90.00 90.00 90.00
Space group Cmc2_1 (No. 36)
Inequivalent atoms, fractional coordinates:
Dy: 0.000 0.096 0.000 (multiplicity 4)
Dy: 0.177 0.404 0.103 (multiplicity 8)
Cd: 0.000 0.284 0.629 (multiplicity 4)
Te: 0.000 0.271 0.258 (multiplicity 4)
Te: 0.000 0.464 0.804 (multiplicity 4)
Te: 0.165 0.040 0.300 (multiplicity 8)
Te: 0.182 0.224 0.841 (multiplicity 8)

Properties
E_form (uncorrected)	-1.0535	eV per atom

***

# 11
DyCdTe2: relaxed, GGA-PBE.

abc: 4.3386 4.3386 23.3528
angles: 90.00 90.00 120.00
Space group R3m (No. 160, hexagonal axes)
Inequivalent atoms, fractional coordinates:
Dy: 0.0000 0.0000 0.0000 (multiplicity 3)
Cd: 0.0000 0.0000 0.8345 (multiplicity 3)
Te: 0.0000 0.0000 0.4131 (multiplicity 3)
Te: 0.0000 0.0000 0.5909 (multiplicity 3)

Properties
E_form (uncorrected)	-0.8083	eV per atom
excess energy over the best structure of this formula in the dataset	0	meV per atom

***

# 12
Dy5CdTe4: relaxed, GGA-PBE.

abc: 9.742 9.742 6.161
angles: 90.00 90.00 90.00
Space group I4/m (No. 87)
Inequivalent atoms, fractional coordinates:
Dy: 0.000 0.000 0.000 (multiplicity 2)
Dy: 0.099 0.292 0.500 (multiplicity 8)
Cd: 0.000 0.000 0.500 (multiplicity 2)
Te: 0.095 0.304 0.000 (multiplicity 8)

Properties
E_form (uncorrected)	-1.0887	eV per atom